[1]
Below is a relaxed structure of GeCS2, with properties calculated at the PBE level.

Output
The space group is R-3m. For the formation energy from raw total energies, the calculation gives 1.1863 eV per atom. Its raw total energy is -4.338 eV per atom. The value obtained for the density of states at the Fermi level is 0.52 states/eV per atom. The value obtained for the offset from the most stable computed form is 523.5 meV per atom.

Structure (extended XYZ):
```
12
Lattice="3.027 0.000 0.000 -1.514 2.622 0.000 0.000 0.000 23.106" Properties=species:S:1:pos:R:3 pbc="T T T"
Ge 0.000 0.000 0.000
Ge 0.000 1.748 15.404
Ge 1.514 0.874 7.702
C 0.000 0.000 11.553
C 0.000 1.748 3.851
C 1.514 0.874 19.255
S 0.000 0.000 2.629
S 0.000 0.000 20.477
S 0.000 1.748 12.775
S 0.000 1.748 18.034
S 1.514 0.874 5.073
S 1.514 0.874 10.332
```


[2]
Below is a relaxed structure of Rb12Te3Se5, with properties calculated at the PBE level.

Output
The space group is Ia-3d. For the formation energy from raw total energies, the calculation gives -0.7572 eV per atom. Its raw total energy is -2.680 eV per atom. The value obtained for the density of states at the Fermi level is 2.07 states/eV per atom.

Structure (extended XYZ):
```
80
Lattice="-10.284 10.284 10.284 10.284 -10.284 10.284 10.284 10.284 -10.284" Properties=species:S:1:pos:R:3 pbc="T T T"
Rb 3.056 -0.471 1.390
Rb 12.369 6.532 -5.613
Rb 9.813 -1.390 3.056
Rb 15.897 -2.086 3.752
Rb 13.340 0.471 1.390
Rb 12.369 -3.752 5.613
Rb 1.390 3.056 -0.471
Rb 14.036 4.671 -2.086
Rb 6.532 5.613 -2.086
Rb 8.894 3.056 0.471
Rb -0.471 1.390 3.056
Rb 5.613 -2.086 6.532
Rb 9.813 8.894 -3.056
Rb 5.613 2.086 3.752
Rb 8.894 -3.056 9.813
Rb 6.532 -5.613 12.369
Rb 3.752 5.613 2.086
Rb 11.674 7.227 0.471
Rb 3.056 9.813 -1.390
Rb 12.369 3.752 4.671
Rb 5.613 12.369 -3.752
Rb 9.813 1.390 7.227
Rb 2.086 3.752 5.613
Rb 3.056 0.471 8.894
Rb 7.227 9.813 1.390
Rb 8.198 6.532 4.671
Rb 0.471 8.894 3.056
Rb 4.671 -2.086 14.036
Rb -2.086 6.532 5.613
Rb 7.227 0.471 11.674
Rb -1.390 3.056 9.813
Rb 6.532 4.671 8.198
Rb 3.752 15.897 -2.086
Rb 1.390 13.340 0.471
Rb 4.671 8.198 6.532
Rb 0.471 1.390 13.340
Rb 4.671 12.369 3.752
Rb 10.755 8.894 7.227
Rb 1.390 7.227 9.813
Rb 3.752 4.671 12.369
Rb -3.752 5.613 12.369
Rb 8.894 7.227 10.755
Rb -2.086 14.036 4.671
Rb -3.056 9.813 8.894
Rb -5.613 12.369 6.532
Rb 0.471 11.674 7.227
Rb -2.086 3.752 15.897
Rb 7.227 10.755 8.894
Te 5.142 2.571 0.000
Te 10.284 5.142 -2.571
Te 2.571 0.000 5.142
Te 12.855 0.000 5.142
Te 0.000 5.142 2.571
Te 5.142 -2.571 10.284
Te 5.142 12.855 0.000
Te 10.284 5.142 7.713
Te -2.571 10.284 5.142
Te 7.713 10.284 5.142
Te 0.000 5.142 12.855
Te 5.142 7.713 10.284
Se 0.000 0.000 0.000
Se 5.142 5.142 -5.142
Se 5.142 -5.142 5.142
Se 10.284 0.000 0.000
Se 15.426 2.571 0.000
Se 10.284 -5.142 7.713
Se 7.713 10.284 -5.142
Se 7.713 0.000 5.142
Se 5.142 7.713 0.000
Se 10.284 5.142 2.571
Se -5.142 5.142 5.142
Se 0.000 10.284 0.000
Se 0.000 0.000 10.284
Se 5.142 5.142 5.142
Se 0.000 5.142 7.713
Se 5.142 2.571 10.284
Se 2.571 10.284 5.142
Se 2.571 0.000 15.426
Se 0.000 15.426 2.571
Se -5.142 7.713 10.284
```


[3]
Below is a relaxed structure of Ba5ScSb4, with properties calculated at the PBE level.

Output
The space group is C2/m. For the formation energy from raw total energies, the calculation gives -0.7568 eV per atom. Its raw total energy is -4.000 eV per atom. The value obtained for the density of states at the Fermi level is 0.40 states/eV per atom.

Structure (extended XYZ):
```
10
Lattice="10.475 -2.452 0.000 10.475 2.452 0.000 -1.613 0.000 8.981" Properties=species:S:1:pos:R:3 pbc="T T T"
Ba 0.000 0.000 0.000
Ba 5.773 0.000 5.851
Ba 7.040 0.000 1.488
Ba 12.296 0.000 7.493
Ba 13.563 0.000 3.130
Sc -0.806 0.000 4.491
Sb 2.241 0.000 5.298
Sb 9.116 0.000 6.443
Sb 10.221 0.000 2.538
Sb 17.096 0.000 3.684
```


- What is the formula in the first record?
  GeCS2


- Which value of raw total energy does entry 1 give?
  -4.338 eV per atom


- Which formula does entry 2 have?
  Rb12Te3Se5